(1)
Computed, not measured: AcAl2Au3 after structural relaxation at the PBE level of DFT.

Lattice parameters (Å, degrees): 6.867 6.867 5.601 90.00 90.00 78.04
Fractional positions:
Ac 0.185 0.815 0.750
Ac 0.815 0.185 0.250
Al 0.296 0.296 0.000
Al 0.296 0.296 0.500
Al 0.704 0.704 0.000
Al 0.704 0.704 0.500
Au 0.018 0.614 0.250
Au 0.386 0.982 0.250
Au 0.433 0.567 0.250
Au 0.567 0.433 0.750
Au 0.614 0.018 0.750
Au 0.982 0.386 0.750

Results
- E (eV per atom) = -4.27
- size of the total moment (μB per formula unit) = 0.00
- symmetry = No. 63

(2)
Computed, not measured: AcAlAu after structural relaxation at the PBE level of DFT.

Lattice parameters (Å, degrees): 5.181 5.181 5.181 60.00 60.00 60.00
Fractional positions:
Ac 0.000 0.000 0.000
Al 0.750 0.750 0.750
Au 0.250 0.250 0.250

Results
- relative energy among the computed polymorphs (meV per atom) = 285.8
- size of the total moment (μB per formula unit) = 0.00
- symmetry = No. 216